A relaxed structure of CaCoNO2, computed with PBE with a Hubbard U.

Cell and atoms, written as POSCAR:
```
CaCoNO2
1.0
3.974 0.000 0.000
0.000 3.974 0.000
0.000 0.000 3.418
O Co Ca N
2 1 1 1
Direct
0.500 0.000 0.000 O
0.000 0.500 0.000 O
0.000 0.000 0.000 Co
0.500 0.500 0.500 Ca
0.000 0.000 0.500 N
```

Properties
**DOS(E_F)**: 0.46 states/eV per atom
**Total energy**: -5.877 eV per atom


A relaxed structure of CaCoNO2, computed with PBE with a Hubbard U.

Cell and atoms, written as POSCAR:
```
CaCoNO2
1.0
4.256 0.000 0.000
0.000 4.256 0.000
0.000 0.000 4.383
Co O N Ca
1 2 1 1
Direct
0.500 0.500 0.500 Co
0.000 0.500 0.000 O
0.500 0.000 0.000 O
0.000 0.000 0.500 N
0.000 0.000 0.000 Ca
```

Properties
**DOS(E_F)**: 1.57 states/eV per atom
**Total energy**: -4.270 eV per atom